(1)
# GGA-PBE La2Pr2Sm15, optimized geometry
data_La2Pr2Sm15
_cell_length_a 11.4471
_cell_length_b 11.4471
_cell_length_c 17.9514
_cell_angle_alpha 90.00
_cell_angle_beta 90.00
_cell_angle_gamma 120.00
_symmetry_space_group_name_H-M 'R -3 m'
_symmetry_Int_Tables_number 166
_symmetry_space_group_name_Hall '-R 3 2"'
loop_
_atom_site_label
_atom_site_fract_x
_atom_site_fract_y
_atom_site_fract_z
_atom_site_occupancy
La1 0.0000 0.0000 0.1733 1
Pr1 0.0000 0.0000 0.4088 1
Sm1 0.0000 0.2982 0.5000 1
Sm2 0.0000 0.5000 0.0000 1
Sm3 0.0155 0.5077 0.6365 1
# - Density of states at the Fermi level: 97.4 states/eV/cell

(2)
# GGA-PBE LaPr8Sm2, optimized geometry
data_LaPr8Sm2
_cell_length_a 18.195
_cell_length_b 7.225
_cell_length_c 6.339
_cell_angle_alpha 90.00
_cell_angle_beta 107.04
_cell_angle_gamma 90.00
_symmetry_space_group_name_H-M 'C 1 2/m 1'
_symmetry_Int_Tables_number 12
loop_
_symmetry_equiv_pos_as_xyz
'x,y,z'
'-x,-y,-z'
'-x,y,-z'
'x,-y,z'
'x+1/2,y+1/2,z'
'-x+1/2,-y+1/2,-z'
'-x+1/2,y+1/2,-z'
'x+1/2,-y+1/2,z'
loop_
_atom_site_label
_atom_site_fract_x
_atom_site_fract_y
_atom_site_fract_z
_atom_site_occupancy
La1 0.000 0.000 0.000 1
Pr1 0.031 0.500 0.254 1
Pr2 0.117 0.225 0.666 1
Pr3 0.207 0.000 0.276 1
Sm1 0.199 0.500 0.145 1
# - Density of states at the Fermi level: 33.1 states/eV/cell
# - Energy above the lowest structure with this stoichiometry: 0.1272 eV/atom

| no. | uncorrected energy (eV/atom) | total moment (μB/cell) | formation energy from the elements (kJ per mole of atoms) |
| --- | --- | --- | --- |
| 1 | -4.4987 | 0.002 | 24.0 |
| 2 | -4.6421 | 0.000 | 13.5 |